Record 1
{"formula": "Hf2Pd2O", "functional": "GGA-PBE", "state": "relaxed", "relative_energy_mev_per_atom": 0, "raw_formation_energy_ev_per_atom": -1.190, "lattice_angstrom": [[5.881, 0.000, 0.000], [0.000, 5.881, 0.000], [0.000, 0.000, 4.789]], "species": ["Hf", "Hf", "Hf", "Hf", "O", "O", "Pd", "Pd", "Pd", "Pd"], "fractional_positions": [[0.322, 0.822, 0.000], [0.822, 0.678, 0.000], [0.678, 0.178, 0.000], [0.178, 0.322, 0.000], [0.000, 0.000, 0.000], [0.500, 0.500, 0.000], [0.157, 0.657, 0.500], [0.657, 0.843, 0.500], [0.843, 0.343, 0.500], [0.343, 0.157, 0.500]]}


Record 2
{"formula": "HfPdO2", "functional": "GGA-PBE", "state": "relaxed", "relative_energy_mev_per_atom": 0, "raw_formation_energy_ev_per_atom": -2.121, "lattice_angstrom": [[1.908, 0.000, 5.961], [-0.954, 1.653, 5.961], [-0.954, -1.653, 5.961]], "species": ["Hf", "O", "O", "Pd"], "fractional_positions": [[0.500, 0.500, 0.500], [0.883, 0.883, 0.883], [0.117, 0.117, 0.117], [0.000, 0.000, 0.000]]}


Record 3
{"formula": "Hf4Pd2O", "functional": "GGA-PBE", "state": "relaxed", "raw_formation_energy_ev_per_atom": -1.031, "lattice_angstrom": [[-1.682, -2.828, -2.782], [2.587, -3.073, 1.559], [-4.353, -4.645, 4.018]], "species": ["Hf", "Hf", "Hf", "Hf", "O", "Pd", "Pd"], "fractional_positions": [[0.185, 0.185, 0.630], [0.815, 0.815, 0.370], [0.000, 0.500, 0.000], [0.500, 0.000, 0.000], [0.000, 0.000, 0.000], [0.368, 0.368, 0.263], [0.632, 0.632, 0.737]]}


Record 4
{"formula": "Hf4PdO", "functional": "GGA-PBE", "state": "relaxed", "raw_formation_energy_ev_per_atom": -0.877, "lattice_angstrom": [[5.657, -0.055, 0.000], [-1.558, 6.068, 0.000], [-2.049, -3.007, 6.494]], "species": ["Hf", "Hf", "Hf", "Hf", "Hf", "Hf", "Hf", "Hf", "Pd", "Pd", "O", "O"], "fractional_positions": [[0.968, 0.179, 0.892], [0.801, 0.645, 0.582], [0.425, 0.714, 0.892], [0.281, 0.937, 0.582], [0.719, 0.063, 0.418], [0.575, 0.286, 0.108], [0.199, 0.355, 0.418], [0.032, 0.821, 0.108], [0.363, 0.613, 0.226], [0.637, 0.387, 0.774], [0.190, 0.940, 0.879], [0.810, 0.060, 0.121]]}


Record 5
{"formula": "HfPdO", "functional": "GGA-PBE", "state": "relaxed", "raw_formation_energy_ev_per_atom": -1.592, "lattice_angstrom": [[-0.079, -3.592, 4.926], [3.474, -3.664, -3.419], [3.124, 6.305, 1.276]], "species": ["Hf", "Hf", "Hf", "Hf", "Pd", "Pd", "Pd", "Pd", "O", "O", "O", "O"], "fractional_positions": [[0.717, 0.283, 0.000], [0.967, 0.033, 0.500], [0.283, 0.717, 0.000], [0.533, 0.467, 0.500], [0.889, 0.889, 0.777], [0.111, 0.111, 0.223], [0.139, 0.639, 0.277], [0.361, 0.861, 0.723], [0.625, 0.375, 0.750], [0.125, 0.375, 0.750], [0.625, 0.875, 0.250], [0.625, 0.375, 0.250]]}


Record 6
{"formula": "Hf3PdO", "functional": "GGA-PBE", "state": "relaxed", "raw_formation_energy_ev_per_atom": -1.171, "lattice_angstrom": [[4.379, 0.000, 0.000], [0.000, 4.379, 0.000], [0.000, 0.000, 4.379]], "species": ["Hf", "Hf", "Hf", "O", "Pd"], "fractional_positions": [[0.000, 0.500, 0.000], [0.000, 0.000, 0.500], [0.500, 0.000, 0.000], [0.000, 0.000, 0.000], [0.500, 0.500, 0.500]]}


Record 7
{"formula": "Hf2Pd2O7", "functional": "GGA-PBE", "state": "relaxed", "raw_formation_energy_ev_per_atom": -1.911, "lattice_angstrom": [[6.147, 0.000, 3.549], [2.049, 5.795, 3.549], [0.000, 0.000, 7.097]], "species": ["Hf", "Hf", "Hf", "Hf", "Pd", "Pd", "Pd", "Pd", "O", "O", "O", "O", "O", "O", "O", "O", "O", "O", "O", "O", "O", "O"], "fractional_positions": [[0.625, 0.625, 0.625], [0.625, 0.625, 0.125], [0.625, 0.125, 0.625], [0.125, 0.625, 0.625], [0.625, 0.125, 0.125], [0.125, 0.625, 0.125], [0.125, 0.125, 0.625], [0.125, 0.125, 0.125], [0.241, 0.241, 0.759], [0.241, 0.759, 0.241], [0.491, 0.009, 0.491], [0.491, 0.491, 0.009], [0.750, 0.750, 0.750], [0.759, 0.241, 0.241], [0.491, 0.009, 0.009], [0.009, 0.491, 0.491], [0.009, 0.009, 0.491], [0.009, 0.491, 0.009], [0.241, 0.759, 0.759], [0.500, 0.500, 0.500], [0.759, 0.241, 0.759], [0.759, 0.759, 0.241]]}


Record 8
{"formula": "HfPdO2", "functional": "GGA-PBE", "state": "relaxed", "relative_energy_mev_per_atom": 711, "raw_formation_energy_ev_per_atom": -1.410, "lattice_angstrom": [[0.344, -2.422, 3.156], [0.655, 1.531, 3.629], [-2.883, -0.104, 2.761]], "species": ["Hf", "O", "O", "Pd"], "fractional_positions": [[0.500, 0.500, 0.500], [0.250, 0.250, 0.250], [0.750, 0.750, 0.750], [0.000, 0.000, 0.000]]}


Record 9
{"formula": "Hf2Pd2O", "functional": "GGA-PBE", "state": "relaxed", "relative_energy_mev_per_atom": 927, "raw_formation_energy_ev_per_atom": -0.263, "lattice_angstrom": [[3.537, 0.000, 0.000], [0.000, 3.537, 0.000], [1.768, 1.768, 7.187]], "species": ["Hf", "Hf", "O", "Pd", "Pd"], "fractional_positions": [[0.394, 0.394, 0.211], [0.606, 0.606, 0.789], [0.000, 0.000, 0.000], [0.750, 0.250, 0.500], [0.250, 0.750, 0.500]]}


Record 10
{"formula": "HfPdO2", "functional": "GGA-PBE", "state": "relaxed", "relative_energy_mev_per_atom": 223, "raw_formation_energy_ev_per_atom": -1.898, "lattice_angstrom": [[-0.700, -4.935, 0.444], [1.398, -0.627, -4.764], [5.193, -3.334, -0.666]], "species": ["Hf", "Hf", "O", "O", "O", "O", "Pd", "Pd"], "fractional_positions": [[0.000, 0.000, 0.000], [0.750, 0.250, 0.500], [0.707, 0.125, 0.250], [0.043, 0.625, 0.250], [0.375, 0.293, 0.750], [0.875, 0.957, 0.750], [0.500, 0.500, 0.000], [0.250, 0.750, 0.500]]}


Record 11
{"formula": "Hf5PdO", "functional": "GGA-PBE", "state": "relaxed", "raw_formation_energy_ev_per_atom": -0.810, "lattice_angstrom": [[-1.807, -2.790, 4.671], [-4.951, -2.868, -0.374], [1.439, -9.756, -0.747]], "species": ["Hf", "Hf", "Hf", "Hf", "Hf", "Hf", "Hf", "Hf", "Hf", "Hf", "Pd", "Pd", "O", "O"], "fractional_positions": [[0.935, 0.628, 0.117], [0.203, 0.532, 0.549], [0.628, 0.935, 0.617], [0.970, 0.030, 0.250], [0.468, 0.797, 0.951], [0.532, 0.203, 0.049], [0.030, 0.970, 0.750], [0.372, 0.065, 0.383], [0.797, 0.468, 0.451], [0.065, 0.372, 0.883], [0.443, 0.557, 0.250], [0.557, 0.443, 0.750], [0.000, 0.000, 0.000], [0.000, 0.000, 0.500]]}


Record 12
{"formula": "PuHfPdO6", "functional": "GGA-PBE", "state": "relaxed", "raw_formation_energy_ev_per_atom": -2.153, "lattice_angstrom": [[5.538, 0.000, 0.000], [-2.769, 4.796, 0.000], [0.000, 0.000, 9.139]], "species": ["Pu", "Pu", "Hf", "Hf", "Pd", "Pd", "O", "O", "O", "O", "O", "O", "O", "O", "O", "O", "O", "O"], "fractional_positions": [[0.667, 0.333, 0.250], [0.333, 0.667, 0.750], [0.333, 0.667, 0.250], [0.667, 0.333, 0.750], [0.000, 0.000, 0.000], [0.000, 0.000, 0.500], [0.647, 0.643, 0.134], [0.996, 0.353, 0.134], [0.353, 0.996, 0.634], [0.004, 0.647, 0.866], [0.357, 0.353, 0.366], [0.996, 0.643, 0.366], [0.643, 0.996, 0.866], [0.647, 0.004, 0.366], [0.004, 0.357, 0.634], [0.357, 0.004, 0.134], [0.643, 0.647, 0.634], [0.353, 0.357, 0.866]]}